Density functional theory data (PBE) for a relaxed Pm2SnHg3 crystal.

a b c (Å): 3.5746 5.0425 8.6252
angles (deg): 90.00 90.00 90.00
Sites, in units of the cell vectors:
Hg1 0.5000 0.0000 0.8305
Hg2 0.5000 0.5000 0.6717
Hg3 0.5000 0.0000 0.1625
Pm1 0.0000 0.5000 0.9995
Pm2 0.0000 0.0000 0.5016
Sn1 0.5000 0.5000 0.3342

Calculated values
SG: Pmm2, No. 25
E_form (kcal/mol of atoms): -10.8
Distance to the lowest polymorph of the same formula (meV per atom): 4
Spin magnetization (μB/atom): 0.000
Final energy (eV/atom): -2.872

Density functional theory data (PBE) for a relaxed TiPb3O6 crystal.

a b c (Å): 5.5106 7.7382 7.7382
angles (deg): 102.86 90.00 90.00
Sites, in units of the cell vectors:
O1 0.2170 0.6632 0.6279
O2 0.6830 0.2592 0.7408
O3 0.1978 0.1363 0.5724
O4 0.6978 0.8637 0.4276
O5 0.6978 0.5724 0.1363
O6 0.7170 0.3368 0.3721
O7 0.0455 0.0789 0.9211
O8 0.1830 0.7408 0.2592
O9 0.2170 0.3721 0.3368
O10 0.5455 0.9211 0.0789
O11 0.7170 0.6279 0.6632
O12 0.1978 0.4276 0.8637
Pb1 0.4447 0.4070 0.5930
Pb2 0.4853 0.2963 0.0880
Pb3 0.9447 0.5930 0.4070
Pb4 0.4853 0.9120 0.7037
Pb5 0.9853 0.7037 0.9120
Pb6 0.9853 0.0880 0.2963
Ti1 0.5120 0.7762 0.2238
Ti2 0.0120 0.2238 0.7762

Calculated values
SG: Cmc2_1, No. 36
Formation energy without anion corrections (kJ/mol of atoms): -151.7
Spin magnetization (μB/atom): 0.000
Final energy (eV/atom): -6.449

Density functional theory data (PBE) for a relaxed SrMnNi2 crystal.

a b c (Å): 4.5870 4.5870 4.5870
angles (deg): 60.00 60.00 60.00
Last column: magnetic moment on the atom in μB.
Sites, in units of the cell vectors:
Ni1 0.2500 0.2500 0.2500  0.37
Ni2 0.0000 0.0000 0.0000  0.10
Mn1 0.5000 0.5000 0.5000  3.64
Sr1 0.7500 0.7500 0.7500  -0.02

Calculated values
SG: F-43m, No. 216
E_form (kcal/mol of atoms): 13.5
Spin magnetization (μB/atom): 1.020
Final energy (eV/atom): -5.020

Density functional theory data (PBE) for a relaxed Pm3Al2Ga7 crystal.

a b c (Å): 4.2786 4.2595 13.9057
angles (deg): 99.00 90.00 90.00
Sites, in units of the cell vectors:
Ga1 0.0000 0.5858 0.1653
Ga2 0.5000 0.9172 0.8338
Ga3 0.5000 0.7275 0.4558
Ga4 0.5000 0.2725 0.5442
Ga5 0.0000 0.4142 0.8347
Ga6 0.5000 0.0828 0.1662
Ga7 0.0000 0.0000 0.0000
Pm1 0.0000 0.1841 0.3681
Pm2 0.0000 0.8159 0.6319
Pm3 0.5000 0.5000 0.0000
Al1 0.5000 0.6371 0.2745
Al2 0.5000 0.3629 0.7255

Calculated values
SG: P2/m, No. 10
E_form (kcal/mol of atoms): -11.8
Spin magnetization (μB/atom): 0.000
Final energy (eV/atom): -4.088

Density functional theory data (PBE) for a relaxed Be2CuRu crystal.

a b c (Å): 2.5635 2.5635 7.1006
angles (deg): 90.00 90.00 109.25
Last column: magnetic moment on the atom in μB.
Sites, in units of the cell vectors:
Be1 0.0000 0.0000 0.0007  0.00
Be2 0.0000 0.0000 0.4993  0.00
Ru1 0.5000 0.5000 0.7500  0.33
Cu1 0.5000 0.5000 0.2500  0.01

Calculated values
SG: Cmmm, No. 65
E_form (kcal/mol of atoms): 0.7
Distance to the lowest polymorph of the same formula (meV per atom): 337
Spin magnetization (μB/atom): 0.090
Final energy (eV/atom): -5.174

Density functional theory data (PBE) for a relaxed ZnReSe2 crystal.

a b c (Å): 3.1940 2.7030 10.0004
angles (deg): 105.37 90.00 90.00
Sites, in units of the cell vectors:
Se1 0.0000 0.5506 0.5459
Se2 0.0000 0.9494 0.9541
Re1 0.5000 0.7500 0.7500
Zn1 0.5000 0.2500 0.2500

Calculated values
SG: P2/m, No. 10
Distance to the lowest polymorph of the same formula (meV per atom): 237
Formation energy without anion corrections (kJ/mol of atoms): 30.3
Spin magnetization (μB/atom): 0.000
Final energy (eV/atom): -4.859

Density functional theory data (PBE) for a relaxed SrPuH8Rh2 crystal.

a b c (Å): 4.7707 4.7707 6.9993
angles (deg): 70.07 70.07 60.00
Last column: magnetic moment on the atom in μB.
Sites, in units of the cell vectors:
Rh1 0.7819 0.7819 0.6543  0.12
Rh2 0.2181 0.2181 0.3457  0.12
H1 0.9352 0.4348 0.1952  0.00
H2 0.8689 0.8689 0.3932  0.00
H3 0.4348 0.4348 0.1952  0.00
H4 0.0648 0.5652 0.8048  0.00
H5 0.1311 0.1311 0.6068  0.00
H6 0.4348 0.9352 0.1952  0.00
H7 0.5652 0.5652 0.8048  0.00
H8 0.5652 0.0648 0.8048  0.00
Pu1 0.5000 0.5000 0.5000  5.01
Sr1 0.0000 0.0000 0.0000  0.00

Calculated values
SG: R-3m, No. 166
Spin magnetization (μB/atom): 0.453
Final energy (eV/atom): -5.027

Density functional theory data (PBE) for a relaxed Rb2Ca2S3O12 crystal.

a b c (Å): 10.7643 10.7643 10.7643
angles (deg): 90.00 90.00 90.00
Sites, in units of the cell vectors:
Ca1 0.8321 0.1679 0.6679
Ca2 0.1679 0.6679 0.8321
Ca3 0.6679 0.8321 0.1679
Ca4 0.4066 0.0934 0.9066
Ca5 0.9066 0.4066 0.0934
Ca6 0.3321 0.3321 0.3321
Ca7 0.0934 0.9066 0.4066
Ca8 0.5934 0.5934 0.5934
Rb1 0.3150 0.6850 0.1850
Rb2 0.6850 0.1850 0.3150
Rb3 0.1850 0.3150 0.6850
Rb4 0.0508 0.0508 0.0508
Rb5 0.8150 0.8150 0.8150
Rb6 0.4492 0.9492 0.5508
Rb7 0.5508 0.4492 0.9492
Rb8 0.9492 0.5508 0.4492
O1 0.4887 0.9062 0.8265
O2 0.5113 0.4062 0.6735
O3 0.7670 0.9871 0.5680
O4 0.2330 0.4871 0.9320
O5 0.9320 0.2330 0.4871
O6 0.9062 0.8265 0.4887
O7 0.4320 0.2670 0.5129
O8 0.4871 0.9320 0.2330
O9 0.1735 0.9887 0.5938
O10 0.8265 0.4887 0.9062
O11 0.2614 0.4082 0.1410
O12 0.0391 0.8089 0.2211
O13 0.5391 0.6911 0.7789
O14 0.3590 0.7386 0.9082
O15 0.6410 0.2386 0.5918
O16 0.9609 0.3089 0.2789
O17 0.2670 0.5129 0.4320
O18 0.6911 0.7789 0.5391
O19 0.6735 0.5113 0.4062
O20 0.8089 0.2211 0.0391
O21 0.1911 0.7211 0.4609
O22 0.0113 0.0938 0.3265
O23 0.1410 0.2614 0.4082
O24 0.7211 0.4609 0.1911
O25 0.7614 0.0918 0.8590
O26 0.3089 0.2789 0.9609
O27 0.2789 0.9609 0.3089
O28 0.7789 0.5391 0.6911
O29 0.5938 0.1735 0.9887
O30 0.9082 0.3590 0.7386
O31 0.8590 0.7614 0.0918
O32 0.7386 0.9082 0.3590
O33 0.5129 0.4320 0.2670
O34 0.5918 0.6410 0.2386
O35 0.9871 0.5680 0.7670
O36 0.5680 0.7670 0.9871
O37 0.4082 0.1410 0.2614
O38 0.9887 0.5938 0.1735
O39 0.2211 0.0391 0.8089
O40 0.0129 0.0680 0.7330
O41 0.0938 0.3265 0.0113
O42 0.2386 0.5918 0.6410
O43 0.3265 0.0113 0.0938
O44 0.4062 0.6735 0.5113
O45 0.0680 0.7330 0.0129
O46 0.0918 0.8590 0.7614
O47 0.4609 0.1911 0.7211
O48 0.7330 0.0129 0.0680
S1 0.7763 0.8748 0.4877
S2 0.2237 0.3748 0.0123
S3 0.2763 0.6252 0.5123
S4 0.6252 0.5123 0.2763
S5 0.1252 0.9877 0.7237
S6 0.5123 0.2763 0.6252
S7 0.9877 0.7237 0.1252
S8 0.3748 0.0123 0.2237
S9 0.0123 0.2237 0.3748
S10 0.4877 0.7763 0.8748
S11 0.7237 0.1252 0.9877
S12 0.8748 0.4877 0.7763

Calculated values
SG: P2_13, No. 198
Formation energy without anion corrections (kJ/mol of atoms): -202.0
Spin magnetization (μB/atom): 0.000
Final energy (eV/atom): -6.189

Density functional theory data (PBE) for a relaxed CaTbSc2 crystal.

a b c (Å): 3.4551 3.4551 11.5971
angles (deg): 81.43 81.43 60.00
Last column: magnetic moment on the atom in μB.
Sites, in units of the cell vectors:
Tb1 0.6664 0.6664 0.0007  -0.01
Sc1 0.2543 0.2543 0.2372  0.21
Sc2 0.0790 0.0790 0.7631  -0.17
Ca1 0.5003 0.5003 0.4990  0.01

Calculated values
SG: R3m, No. 160
E_form (kcal/mol of atoms): 3.3
Distance to the lowest polymorph of the same formula (meV per atom): 1
Spin magnetization (μB/atom): 0.027
Final energy (eV/atom): -4.681

Density functional theory data (PBE) for a relaxed RbAgSb2Te4 crystal.

a b c (Å): 4.5496 7.7770 16.5125
angles (deg): 90.00 90.00 107.01
Sites, in units of the cell vectors:
Sb1 0.6327 0.2655 0.4383
Sb2 0.3673 0.7345 0.5617
Sb3 0.6327 0.2655 0.0617
Sb4 0.3673 0.7345 0.9383
Ag1 0.1684 0.3368 0.2500
Ag2 0.8316 0.6632 0.7500
Te1 0.2668 0.5335 0.0998
Te2 0.2668 0.5335 0.4002
Te3 0.4313 0.8626 0.7500
Te4 0.0000 0.0000 0.0000
Te5 0.7332 0.4665 0.9002
Te6 0.5687 0.1374 0.2500
Te7 0.0000 0.0000 0.5000
Te8 0.7332 0.4665 0.5998
Rb1 0.1169 0.2337 0.7500
Rb2 0.8831 0.7663 0.2500

Calculated values
SG: Cmcm, No. 63
Formation energy without anion corrections (kJ/mol of atoms): -26.4
Spin magnetization (μB/atom): 0.000
Final energy (eV/atom): -3.352

Density functional theory data (PBE) for a relaxed Mg5Co3 crystal.

a b c (Å): 7.6075 7.6075 7.6091
angles (deg): 96.17 96.17 141.48
Last column: magnetic moment on the atom in μB.
Sites, in units of the cell vectors:
Mg1 0.2186 0.9217 0.1409  -0.01
Mg2 0.7180 0.5775 0.2973  -0.01
Mg3 0.5778 0.2809 0.8591  -0.01
Mg4 0.4212 0.7191 0.1409  -0.01
Mg5 0.7502 0.2505 0.5009  -0.01
Mg6 0.7805 0.0783 0.8591  -0.01
Mg7 0.9220 0.7815 0.7027  -0.01
Mg8 0.2492 0.7495 0.4991  -0.01
Mg9 0.2812 0.4224 0.7027  -0.01
Mg10 0.0771 0.2184 0.2973  -0.01
Co1 0.7496 0.7499 0.0000  1.15
Co2 0.2495 0.2500 0.0000  1.15
Co3 0.6673 0.8323 0.5000  0.91
Co4 0.8317 0.3322 0.1647  0.91
Co5 0.3319 0.1677 0.5000  0.91
Co6 0.1674 0.6678 0.8353  0.91

Calculated values
SG: C2/m, No. 12
E_form (kcal/mol of atoms): 4.8
Distance to the lowest polymorph of the same formula (meV per atom): 4
Spin magnetization (μB/atom): 0.333
Final energy (eV/atom): -3.453

Density functional theory data (PBE) for a relaxed InAgTe3 crystal.

a b c (Å): 5.6886 5.6886 5.6886
angles (deg): 90.00 90.00 90.00
Sites, in units of the cell vectors:
Te1 0.0000 0.0000 0.5000
Te2 0.0000 0.5000 0.0000
Te3 0.5000 0.0000 0.0000
Ag1 0.5000 0.5000 0.5000
In1 0.0000 0.0000 0.0000

Calculated values
SG: Pm-3m, No. 221
Distance to the lowest polymorph of the same formula (meV per atom): 699
Formation energy without anion corrections (kJ/mol of atoms): 56.9
Spin magnetization (μB/atom): 0.000
Final energy (eV/atom): -2.413

Density functional theory data (PBE) for a relaxed Ho3Zn3Ga2 crystal.

a b c (Å): 4.3592 5.6755 14.5502
angles (deg): 90.00 90.00 112.58
Sites, in units of the cell vectors:
Zn1 0.3856 0.7712 0.9644
Zn2 0.3446 0.6891 0.2500
Zn3 0.3856 0.7712 0.5356
Zn4 0.6144 0.2288 0.4644
Zn5 0.6144 0.2288 0.0356
Zn6 0.6554 0.3109 0.7500
Ho1 0.6306 0.2611 0.2500
Ho2 0.0919 0.1837 0.8914
Ho3 0.3694 0.7389 0.7500
Ho4 0.0919 0.1837 0.6086
Ho5 0.9081 0.8163 0.1086
Ho6 0.9081 0.8163 0.3914
Ga1 0.2021 0.4042 0.1033
Ga2 0.7979 0.5958 0.6033
Ga3 0.2021 0.4042 0.3967
Ga4 0.7979 0.5958 0.8967

Calculated values
SG: Cmcm, No. 63
E_form (kcal/mol of atoms): -11.2
Spin magnetization (μB/atom): 0.000
Final energy (eV/atom): -3.436

Density functional theory data (PBE) for a relaxed Dy6Th2Sc3 crystal.

a b c (Å): 6.0605 7.7263 14.3160
angles (deg): 49.56 60.73 97.71
Sites, in units of the cell vectors:
Th1 0.3545 0.5377 0.9120
Th2 0.6455 0.4623 0.0880
Sc1 0.0000 0.0000 0.0000
Sc2 0.4408 0.1708 0.6457
Sc3 0.5592 0.8292 0.3543
Dy1 0.9095 0.3623 0.2708
Dy2 0.8173 0.7220 0.5454
Dy3 0.0905 0.6377 0.7292
Dy4 0.2670 0.9127 0.1832
Dy5 0.7330 0.0873 0.8168
Dy6 0.1827 0.2780 0.4546

Calculated values
SG: P-1, No. 2
E_form (kcal/mol of atoms): 1.0
Spin magnetization (μB/atom): 0.000
Final energy (eV/atom): -5.543

Density functional theory data (PBE) for a relaxed Cs3LaAg2Br8 crystal.

a b c (Å): 8.1078 8.1078 10.6394
angles (deg): 90.00 90.00 120.00
Sites, in units of the cell vectors:
Br1 0.1670 0.3341 0.3357
Br2 0.8330 0.1670 0.6643
Br3 0.6659 0.8330 0.3357
Br4 0.6667 0.3333 0.0486
Br5 0.3333 0.6667 0.9514
Br6 0.3341 0.1670 0.6643
Br7 0.8330 0.6659 0.6643
Br8 0.1670 0.8330 0.3357
Ag1 0.6667 0.3333 0.8107
Ag2 0.3333 0.6667 0.1893
Cs1 0.3333 0.6667 0.6293
Cs2 0.6667 0.3333 0.3707
Cs3 0.0000 0.0000 0.0000
La1 0.0000 0.0000 0.5000

Calculated values
SG: P-3m1, No. 164
Formation energy without anion corrections (kJ/mol of atoms): -136.3
Spin magnetization (μB/atom): 0.000
Final energy (eV/atom): -3.311

Density functional theory data (PBE) for a relaxed NpVCrOs crystal.

a b c (Å): 4.4565 4.4565 4.4565
angles (deg): 60.00 60.00 60.00
Last column: magnetic moment on the atom in μB.
Sites, in units of the cell vectors:
Np1 0.5000 0.5000 0.5000  2.87
V1 0.0000 0.0000 0.0000  -0.49
Os1 0.7500 0.7500 0.7500  0.03
Cr1 0.2500 0.2500 0.2500  0.45

Calculated values
SG: F-43m, No. 216
E_form (kcal/mol of atoms): 5.2
Spin magnetization (μB/atom): 0.730
Final energy (eV/atom): -10.502

Density functional theory data (PBE) for a relaxed Zr4H2Pb3 crystal.

a b c (Å): 6.0216 7.9821 7.9821
angles (deg): 69.39 78.00 78.00
Sites, in units of the cell vectors:
Pb1 0.7500 0.4988 0.5012
Pb2 0.2500 0.5012 0.4988
Pb3 0.4306 0.2113 0.9959
Pb4 0.5694 0.7887 0.0041
Pb5 0.9306 0.9959 0.2113
Pb6 0.0694 0.0041 0.7887
H1 0.9394 0.4051 0.1317
H2 0.5606 0.8683 0.5949
H3 0.4394 0.1317 0.4051
H4 0.0606 0.5949 0.8683
Zr1 0.9067 0.7787 0.6230
Zr2 0.0617 0.6360 0.1280
Zr3 0.4067 0.6230 0.7787
Zr4 0.0933 0.2213 0.3770
Zr5 0.5933 0.3770 0.2213
Zr6 0.5617 0.1280 0.6360
Zr7 0.4383 0.8720 0.3640
Zr8 0.9383 0.3640 0.8720

Calculated values
SG: C2/c, No. 15
Spin magnetization (μB/atom): 0.000
Final energy (eV/atom): -6.011

Density functional theory data (PBE) for a relaxed CaNb crystal.

a b c (Å): 3.5797 3.5797 8.5936
angles (deg): 90.00 90.00 90.00
Sites, in units of the cell vectors:
Nb1 0.0000 0.5000 0.9398
Nb2 0.5000 0.0000 0.0602
Ca1 0.0000 0.5000 0.3212
Ca2 0.5000 0.0000 0.6788

Calculated values
SG: P4/nmm, No. 129
E_form (kcal/mol of atoms): 6.4
Distance to the lowest polymorph of the same formula (meV per atom): 0
Spin magnetization (μB/atom): 0.000
Final energy (eV/atom): -5.760

Density functional theory data (PBE) for a relaxed LiCoRe crystal.

a b c (Å): 4.4058 4.4058 4.4058
angles (deg): 146.05 129.51 62.24
Sites, in units of the cell vectors:
Li1 0.3359 0.3359 0.0000
Co1 0.0049 0.0049 0.0000
Re1 0.6592 0.6592 0.0000

Calculated values
SG: Imm2, No. 44
E_form (kcal/mol of atoms): 6.8
Distance to the lowest polymorph of the same formula (meV per atom): 69
Spin magnetization (μB/atom): 0.000
Final energy (eV/atom): -6.860

Density functional theory data (PBE) for a relaxed CaAc2Ga crystal.

a b c (Å): 4.8515 5.3609 5.3609
angles (deg): 90.00 90.00 90.00
Sites, in units of the cell vectors:
Ac1 0.0000 0.5000 0.0000
Ac2 0.0000 0.0000 0.5000
Ca1 0.5000 0.0000 0.0000
Ga1 0.5000 0.5000 0.5000

Calculated values
SG: P4/mmm, No. 123
E_form (kcal/mol of atoms): -2.3
Distance to the lowest polymorph of the same formula (meV per atom): 111
Spin magnetization (μB/atom): 0.000
Final energy (eV/atom): -3.412